No. 1
Computed, not measured: a relaxed ReTcHg2 crystal at the GGA-PBEsol level of DFT.

* magnetization: 0.00 μB/f.u.
* total DFT energy (no corrections): -22.74 eV per formula unit

```
data_ReTcHg2
_cell_length_a 2.8721
_cell_length_b 2.8721
_cell_length_c 28.0356
_cell_angle_alpha 90.00
_cell_angle_beta 90.00
_cell_angle_gamma 120.00
_symmetry_space_group_name_H-M 'R -3 m'
_symmetry_Int_Tables_number 166
_symmetry_space_group_name_Hall '-R 3 2"'
loop_
_atom_site_label
_atom_site_fract_x
_atom_site_fract_y
_atom_site_fract_z
Re1 0.0000 0.0000 0.0000
Tc1 0.0000 0.0000 0.5000
Hg1 0.0000 0.0000 0.2492
```

No. 2
Computed, not measured: a relaxed YSi2P crystal at the GGA-PBEsol level of DFT.

* magnetization: 0.00 μB/f.u.
* total DFT energy (no corrections): -25.82 eV per formula unit

```
data_YSi2P
_cell_length_a 9.037
_cell_length_b 3.485
_cell_length_c 4.835
_cell_angle_alpha 90.00
_cell_angle_beta 111.95
_cell_angle_gamma 90.00
_symmetry_space_group_name_H-M 'C 1 m 1'
_symmetry_Int_Tables_number 8
_symmetry_space_group_name_Hall 'C -2y'
loop_
_atom_site_label
_atom_site_fract_x
_atom_site_fract_y
_atom_site_fract_z
Y1 0.000 0.000 0.000
Si1 0.002 0.500 0.500
Si2 0.224 0.000 0.645
P1 0.284 0.500 0.351
```

No. 3
Computed, not measured: a relaxed Rb2Pd3S4 crystal at the GGA-PBEsol level of DFT.

* magnetization: 0.00 μB/f.u.
* total DFT energy (no corrections): -44.32 eV per formula unit

```
data_Rb2Pd3S4
_cell_length_a 6.228
_cell_length_b 10.495
_cell_length_c 13.169
_cell_angle_alpha 90.00
_cell_angle_beta 90.00
_cell_angle_gamma 90.00
_symmetry_space_group_name_H-M 'F m m m'
_symmetry_Int_Tables_number 69
_symmetry_space_group_name_Hall '-F 2 2'
loop_
_atom_site_label
_atom_site_fract_x
_atom_site_fract_y
_atom_site_fract_z
Rb1 0.000 0.000 0.157
Pd1 0.000 0.000 0.500
Pd2 0.250 0.250 0.000
S1 0.000 0.169 0.385
```

No. 4
Computed, not measured: a relaxed CsTl3Ge crystal at the GGA-PBEsol level of DFT.

* magnetization: 0.00 μB/f.u.
* total DFT energy (no corrections): -7.71 eV per formula unit

```
data_CsTl3Ge
_cell_length_a 6.143
_cell_length_b 6.143
_cell_length_c 6.143
_cell_angle_alpha 90.00
_cell_angle_beta 90.00
_cell_angle_gamma 90.00
_symmetry_space_group_name_H-M 'P m -3 m'
_symmetry_Int_Tables_number 221
_symmetry_space_group_name_Hall '-P 4 2 3'
loop_
_atom_site_label
_atom_site_fract_x
_atom_site_fract_y
_atom_site_fract_z
Cs1 0.000 0.000 0.000
Tl1 0.000 0.000 0.500
Ge1 0.500 0.500 0.500
```